Entry from Alexandria via LeMat-Bulk: an optimized crystal structure of AcNi12As6 (PBE).

Values from the calculation:
- space-group type = R-3m (166)
- ΔH_f (0 K) (eV/atom) = -0.291
- V (Å³/atom) = 14.5

abc: 6.760 6.760 6.760
angles: 103.86 103.86 103.86
Sites, in units of the cell vectors:
Ac 0.000 0.000 0.000
As 0.330 0.762 0.762
As 0.238 0.238 0.670
As 0.762 0.330 0.762
As 0.762 0.762 0.330
As 0.670 0.238 0.238
As 0.238 0.670 0.238
Ni 0.500 0.871 0.129
Ni 0.162 0.449 0.449
Ni 0.500 0.129 0.871
Ni 0.871 0.129 0.500
Ni 0.449 0.449 0.162
Ni 0.838 0.551 0.551
Ni 0.871 0.500 0.129
Ni 0.551 0.838 0.551
Ni 0.129 0.500 0.871
Ni 0.129 0.871 0.500
Ni 0.551 0.551 0.838
Ni 0.449 0.162 0.449